Record 1
VASP calculation (PBE) on an optimized crystal structure of TlCdRhF6.

Properties
The uncorrected formation energy comes out at -1.8227 eV/atom.

Unit cell a=7.6067 b=7.6928 c=11.1334 alpha=90.00 beta=90.00 gamma=90.00
With the nearest neighbours (Å) after each atom.
Space group Imma (No. 74)
Unique sites:
Tl  0.0000  0.2500  0.1584 [4 per cell]  1 F 2.68
Cd  0.0000  0.0000  0.5000 [4 per cell]  6 F 2.23-2.26
Rh  0.2500  0.2500  0.7500 [4 per cell]  6 F 2.01
F  0.0000  0.2500  0.3992 [4 per cell]  2 Cd 2.23
F  0.0000  0.2500  0.8090 [4 per cell]  2 Rh 2.01
F  0.2216  0.0580  0.6294 [16 per cell]  1 Rh 2.01

Record 2
VASP calculation (PBE) on an optimized crystal structure of BaYHfSe2.

Properties
The uncorrected formation energy comes out at 1.0506 eV/atom. The density of states at the Fermi level is 7.36 states/eV/f.u.

Unit cell a=5.7947 b=5.7947 c=6.0425 alpha=90.00 beta=90.00 gamma=90.00
With the nearest neighbours (Å) after each atom.
Space group P4/mmm (No. 123)
Unique sites:
Ba  0.0000  0.0000  0.0000 [1 per cell]  4 Se 2.90, 2 Y 3.02
Y  0.0000  0.0000  0.5000 [1 per cell]  2 Ba 3.02
Hf  0.5000  0.5000  0.5000 [1 per cell]  4 Y 4.10, 8 Se 4.19
Se  0.0000  0.5000  0.0000 [2 per cell]  2 Ba 2.90

Record 3
VASP calculation (PBE) on an optimized crystal structure of AcGa4Au4.

Properties
The formation energy is -0.46 eV/atom. The density of states at the Fermi level is 3.33 states/eV/f.u.

Unit cell a=6.4516 b=6.4516 c=8.9668 alpha=90.00 beta=90.00 gamma=90.00
With the nearest neighbours (Å) after each atom.
Space group P4_2/nmc (No. 137, origin choice 2)
Unique sites:
Ac  0.2500  0.7500  0.2500 [2 per cell]  4 Au 3.40, 8 Ga 3.67
Ga  0.0280  0.2500  0.1359 [8 per cell]  5 Au 2.62-2.74, 1 Ga 2.86
Au  0.0312  0.2500  0.4288 [8 per cell]  5 Ga 2.62-2.74, 1 Au 2.82

Record 4
VASP calculation (PBE) on an optimized crystal structure of SrAg2S2.

Properties
The uncorrected formation energy comes out at -0.5643 eV/atom. The density of states at the Fermi level is 1.62 states/eV/f.u.

Unit cell a=5.0458 b=5.0458 c=8.9474 alpha=90.00 beta=90.00 gamma=90.00
With the nearest neighbours (Å) after each atom.
Space group I4/mmm (No. 139)
Unique sites:
Sr  0.0000  0.0000  0.0000 [2 per cell]  2 Ag 3.09, 8 S 3.37
Ag  0.0000  0.0000  0.3453 [4 per cell]  4 S 2.66, 1 Ag 2.77
S  0.0000  0.5000  0.2500 [4 per cell]  4 Ag 2.66

Record 5
VASP calculation (PBE) on an optimized crystal structure of Li2Nb4O11.

Properties
The uncorrected formation energy comes out at -2.4691 eV/atom. As for the energy above the most stable polymorph in this dataset: 0 meV per atom. The density of states at the Fermi level is 0.00 states/eV/f.u.

Unit cell a=11.1876 b=6.2298 c=12.8941 alpha=90.00 beta=106.93 gamma=90.00
With the nearest neighbours (Å) after each atom.
Space group C2/c (No. 15)
Unique sites:
Li  0.1088  0.2424  0.0595 [8 per cell]  3 O 2.00-2.16
Nb  0.0000  0.1190  0.2500 [4 per cell]  6 O 1.99-2.06
Nb  0.1743  0.4239  0.7482 [8 per cell]  6 O 1.92-2.09
Nb  0.2500  0.2500  0.5000 [4 per cell]  6 O 2.02-2.03
O  0.0000  0.4870  0.2500 [4 per cell]  2 Nb 2.03
O  0.0775  0.1624  0.4082 [8 per cell]  2 Nb 1.99-2.02
O  0.1128  0.1365  0.7464 [8 per cell]  2 Nb 1.92-2.04
O  0.1578  0.2454  0.2212 [8 per cell]  1 Li 2.00, 3 Nb 2.06-2.09
O  0.1702  0.4287  0.5936 [8 per cell]  2 Nb 1.98-2.03, 1 Li 2.16
O  0.2462  0.4906  0.9055 [8 per cell]  2 Nb 2.00-2.02, 1 Li 2.12

Record 6
VASP calculation (PBE) on an optimized crystal structure of DySi3Pd3.

Properties
The uncorrected formation energy comes out at -0.3237 eV/atom. As for the energy above the most stable polymorph in this dataset: 221 meV per atom. The density of states at the Fermi level is 4.62 states/eV/f.u.

Unit cell a=6.5734 b=6.5734 c=6.5734 alpha=90.00 beta=90.00 gamma=90.00
With the nearest neighbours (Å) after each atom.
Space group Pm-3n (No. 223)
Unique sites:
Dy  0.0000  0.0000  0.0000 [2 per cell]  12 Pd 3.67, 12 Si 3.67
Si  0.0000  0.2500  0.5000 [6 per cell]  4 Pd 2.32
Pd  0.0000  0.5000  0.2500 [6 per cell]  4 Si 2.32

Record 7
VASP calculation (PBE) on an optimized crystal structure of K2BeCr.

Properties
The formation energy is 0.75 eV/atom. The density of states at the Fermi level is 1.81 states/eV/f.u.

Unit cell a=3.4004 b=3.4004 c=10.0875 alpha=90.00 beta=90.00 gamma=90.00
With the nearest neighbours (Å) after each atom.
Space group P4mm (No. 99)
Unique sites:
K  0.0000  0.0000  0.0000 [1 per cell]  1 Be 3.27, 4 K 3.40
K  0.5000  0.5000  0.4131 [1 per cell]  1 Cr 3.15, 4 K 3.40
Be  0.0000  0.0000  0.6761 [1 per cell]  4 Cr 2.45
Cr  0.5000  0.5000  0.7250 [1 per cell]  4 Be 2.45

Record 8
VASP calculation (PBE) on an optimized crystal structure of Pr12CuPd6.

Properties
The formation energy is -0.36 eV/atom. The density of states at the Fermi level is 24.43 states/eV/f.u.

Unit cell a=13.0638 b=13.0638 c=12.2065 alpha=90.00 beta=90.00 gamma=120.00
With the nearest neighbours (Å) after each atom.
Space group R-3 (No. 148, hexagonal axes)
Unique sites:
Pr  0.0252  0.2111  0.3912 [18 per cell]  4 Pd 2.89-3.17
Pr  0.0391  0.2051  0.8837 [18 per cell]  1 Cu 2.84, 2 Pd 2.95-2.99
Cu  0.0000  0.0000  0.0000 [3 per cell]  6 Pr 2.84
Pd  0.0429  0.2645  0.6464 [18 per cell]  6 Pr 2.89-3.17

Record 9
VASP calculation (PBE) on an optimized crystal structure of Sm12CuNi6.

Properties
The formation energy is -0.23 eV/atom. The density of states at the Fermi level is 20.11 states/eV/f.u.

Unit cell a=9.8396 b=9.8396 c=9.8396 alpha=90.00 beta=90.00 gamma=90.00
With the nearest neighbours (Å) after each atom.
Space group Im-3 (No. 204)
Unique sites:
Sm  0.0000  0.1857  0.3027 [24 per cell]  3 Ni 2.70-2.93
Cu  0.0000  0.0000  0.0000 [2 per cell]  12 Sm 3.49
Ni  0.0000  0.3763  0.5000 [12 per cell]  1 Ni 2.43, 2 Sm 2.70

Record 10
VASP calculation (PBE) on an optimized crystal structure of LiHg2Bi2.

Properties
The formation energy is -0.01 eV/atom. As for the energy above the most stable polymorph in this dataset: 81 meV per atom. The density of states at the Fermi level is 2.30 states/eV/f.u.

Unit cell a=7.8326 b=7.8326 c=4.6174 alpha=90.00 beta=90.00 gamma=90.00
With the nearest neighbours (Å) after each atom.
Space group P4/mbm (No. 127)
Unique sites:
Li  0.0000  0.0000  0.0000 [2 per cell]  4 Bi 3.01
Hg  0.1615  0.3385  0.5000 [4 per cell]  6 Bi 3.15-3.33
Bi  0.1444  0.6444  0.0000 [4 per cell]  2 Li 3.01, 6 Hg 3.15-3.33, 1 Bi 3.20

Record 11
VASP calculation (PBE) on an optimized crystal structure of K2Ca2Ir.

Properties
The formation energy is 0.18 eV/atom. As for the energy above the most stable polymorph in this dataset: 0 meV per atom. The density of states at the Fermi level is 2.16 states/eV/f.u.

Unit cell a=7.5771 b=7.5771 c=6.8316 alpha=90.00 beta=90.00 gamma=90.00
With the nearest neighbours (Å) after each atom.
Space group P4/mbm (No. 127)
Unique sites:
K  0.1888  0.3112  0.0000 [4 per cell]  2 Ca 3.69, 5 K 3.90-4.05
Ca  0.1812  0.6812  0.5000 [4 per cell]  2 Ir 2.78
Ir  0.0000  0.0000  0.5000 [2 per cell]  4 Ca 2.78

Record 12
VASP calculation (PBE) on an optimized crystal structure of TbMgS3.

Properties
The uncorrected formation energy comes out at -1.2611 eV/atom. As for the energy above the most stable polymorph in this dataset: 78 meV per atom. The density of states at the Fermi level is 0.07 states/eV/f.u.

Unit cell a=7.7627 b=11.4794 c=6.7872 alpha=90.00 beta=119.73 gamma=90.00
With the nearest neighbours (Å) after each atom.
Space group C2/m (No. 12)
Unique sites:
Tb  0.2174  0.0000  0.2521 [4 per cell]  6 S 2.68-2.94
Mg  0.0000  0.3393  0.0000 [4 per cell]  4 S 2.54-2.58
S  0.0786  0.1512  0.8527 [8 per cell]  1 Mg 2.58, 1 Tb 2.68, 1 S 2.81
S  0.0818  0.5000  0.2894 [4 per cell]  2 Mg 2.54, 2 Tb 2.70-2.71